The following is a PBE calculation of a relaxed structure of Sm6BiP2S3, from Alexandria via LeMat-Bulk.

## Properties
* formation energy without anion corrections: -1679 meV per atom
* M_tot: 0.000 μB per cell

a = 4.1337 Å, b = 8.3186 Å, c = 9.2438 Å
α = 102.36°, β = 102.92°, γ = 90.00°
Sites, in units of the cell vectors:
Sm  0.6697  0.5790  0.3394
Sm  0.6756  0.0997  0.3513
Sm  0.9957  0.7255  0.9915
Sm  0.0043  0.2745  0.0085
Sm  0.3244  0.9003  0.6487
Sm  0.3303  0.4210  0.6606
S  0.1639  0.8328  0.3278
S  0.5000  0.5000  0.0000
S  0.8361  0.1672  0.6722
Bi  0.5000  0.0000  0.0000
P  0.8320  0.6641  0.6640
P  0.1680  0.3359  0.3360